[1]
The following is a DFT calculation (PBE) of a geometry-optimized LaSnH2Au structure.

excess energy over the best structure of this formula in the dataset: 0.178 eV/atom

abc: 4.3866 4.5941 4.8186
angles: 114.97 92.48 90.43
Fractional positions:
La (0.0000, 0.0000, 0.0000)
Sn (0.5370, 0.6727, 0.3071)
H (0.1009, 0.5849, 0.1656)
H (0.4932, 0.1196, 0.8733)
Au (0.4843, 0.3315, 0.6328)



[2]
The following is a DFT calculation (PBE) of a geometry-optimized LaSnH2Au structure.

excess energy over the best structure of this formula in the dataset: 0.131 eV/atom

abc: 4.6993 4.6993 4.4307
angles: 90.10 90.10 61.77
Fractional positions:
La (0.0000, 0.0000, 0.0000)
Sn (0.3227, 0.3227, 0.5589)
H (0.6735, 0.6735, 0.0257)
H (0.8751, 0.8751, 0.5010)
Au (0.6501, 0.6501, 0.4255)



[3]
The following is a DFT calculation (PBE) of a geometry-optimized LaSnH2Au structure.

excess energy over the best structure of this formula in the dataset: 0.000 eV/atom

abc: 4.6300 4.6300 4.4556
angles: 90.00 90.00 120.00
Fractional positions:
La (0.0000, 0.0000, 0.0000)
Sn (0.3333, 0.6667, 0.5233)
H (0.3333, 0.6667, 0.9884)
H (0.6667, 0.3333, 0.0555)
Au (0.6667, 0.3333, 0.4633)



[4]
The following is a DFT calculation (PBE) of a geometry-optimized LaTc2HAu structure.

VASP energy: -4.754 eV/atom

abc: 4.9805 4.9805 5.7861
angles: 90.00 90.00 90.00
Fractional positions:
La (0.0000, 0.0000, 0.0000)
Tc (0.0000, 0.5000, 0.5000)
Tc (0.5000, 0.0000, 0.5000)
H (0.5000, 0.5000, 0.0000)
Au (0.0000, 0.0000, 0.5000)



[5]
The following is a DFT calculation (PBE) of a geometry-optimized La2TlHAu structure.

VASP energy: -4.248 eV/atom

abc: 5.1967 5.1967 4.3267
angles: 90.00 90.00 90.00
Fractional positions:
La (0.0000, 0.5000, 0.0000)
La (0.5000, 0.0000, 0.0000)
Tl (0.0000, 0.0000, 0.5000)
H (0.5000, 0.5000, 0.0000)
Au (0.5000, 0.5000, 0.5000)



[6]
The following is a DFT calculation (PBE) of a geometry-optimized Li3HAu structure.

excess energy over the best structure of this formula in the dataset: 0.295 eV/atom

abc: 7.6679 7.6679 4.8182
angles: 90.00 90.00 131.29
Fractional positions:
Li (0.0000, 0.0000, 0.0000)
Li (0.0000, 0.0000, 0.5000)
Li (0.0442, 0.4031, 0.2500)
Li (0.4031, 0.0442, 0.7500)
Li (0.5969, 0.9558, 0.2500)
Li (0.9558, 0.5969, 0.7500)
H (0.2967, 0.7033, 0.2500)
H (0.7033, 0.2967, 0.7500)
Au (0.1650, 0.8350, 0.2500)
Au (0.8350, 0.1650, 0.7500)



[7]
The following is a DFT calculation (PBE) of a geometry-optimized Li6HAu3 structure.

VASP energy: -2.862 eV/atom

abc: 8.2834 8.2834 4.7264
angles: 90.00 90.00 114.70
Fractional positions:
Li (0.0685, 0.9315, 0.5000)
Li (0.0893, 0.5945, 0.3746)
Li (0.2446, 0.7554, 0.8530)
Li (0.2680, 0.4052, 0.0024)
Li (0.4052, 0.2680, 0.5024)
Li (0.4055, 0.9107, 0.3746)
Li (0.5945, 0.0893, 0.8746)
Li (0.5948, 0.7320, 0.0024)
Li (0.7320, 0.5948, 0.5024)
Li (0.7554, 0.2446, 0.3530)
Li (0.9107, 0.4055, 0.8746)
Li (0.9315, 0.0685, 0.0000)
H (0.1953, 0.8047, 0.5191)
H (0.8047, 0.1953, 0.0191)
Au (0.0769, 0.2704, 0.5051)
Au (0.2704, 0.0769, 0.0051)
Au (0.4074, 0.5926, 0.4974)
Au (0.5926, 0.4074, 0.9974)
Au (0.7296, 0.9231, 0.5051)
Au (0.9231, 0.7296, 0.0051)



[8]
The following is a DFT calculation (PBE) of a geometry-optimized Li3HAu structure.

excess energy over the best structure of this formula in the dataset: 0.669 eV/atom

abc: 4.9127 4.9127 4.9127
angles: 90.00 90.00 90.00
Fractional positions:
Li (0.0000, 0.0000, 0.5000)
Li (0.0000, 0.5000, 0.0000)
Li (0.5000, 0.0000, 0.0000)
H (0.5000, 0.5000, 0.5000)
Au (0.0000, 0.0000, 0.0000)



| no. | magnetic moment (Bohr magnetons per cell) |
| --- | --- |
| 1 | 0.0 |
| 2 | 0.0 |
| 3 | 0.0 |
| 4 | 5.2 |
| 5 | 0.0 |
| 6 | 0.0 |
| 7 | 0.0 |
| 8 | 0.0 |